Compound: SeO
Source: Alexandria via LeMat-Bulk
Functional: PBE-GGA
Structure: optimized geometry

POSCAR file:
```
SeO
1.0
4.5221 0.0000 0.0000
0.0000 16.7765 0.0000
0.0000 0.0000 9.7305
Se O
16 16
direct
0.7500 0.5701 0.7500
0.0000 0.1799 0.0000
0.0000 0.6799 0.5000
0.2500 0.4299 0.7500
0.5000 0.3201 0.0000
0.2500 0.9299 0.2500
0.5000 0.8201 0.5000
0.7500 0.9299 0.7500
0.2500 0.0701 0.7500
0.7500 0.0701 0.2500
0.5000 0.1799 0.5000
0.0000 0.8201 0.0000
0.2500 0.5701 0.2500
0.0000 0.3201 0.5000
0.7500 0.4299 0.2500
0.5000 0.6799 0.0000
0.7500 0.2500 0.4120
0.7500 0.7500 0.5880
0.0000 0.0000 0.1620
0.7500 0.2500 0.0880
0.2500 0.7500 0.0880
0.5000 0.5000 0.8380
0.7500 0.7500 0.9120
0.5000 0.0000 0.6620
0.0000 0.5000 0.6620
0.5000 0.0000 0.3380
0.2500 0.2500 0.5880
0.2500 0.2500 0.9120
0.0000 0.0000 0.8380
0.0000 0.5000 0.3380
0.5000 0.5000 0.1620
0.2500 0.7500 0.4120
```

Output
Symmetry = Fddd
Energy above the most stable polymorph in this dataset = 160.0 meV/atom
Formation energy (no corrections) = -0.21 eV per atom
Crystal system = orthorhombic
VASP energy = -141.8 eV for the cell shown
Magnetic moment = 0.0 μB/cell

***

Compound: SeO
Source: Alexandria via LeMat-Bulk
Functional: PBE-GGA
Structure: optimized geometry

POSCAR file:
```
SeO
1.0
3.0738 -0.0201 -0.0390
-1.5286 2.6658 0.0121
-1.4703 -0.9130 4.1676
O Se
1 1
direct
0.3621 0.3039 0.7300
0.0928 0.1632 0.3279
```

Output
Symmetry = P1
Energy above the most stable polymorph in this dataset = 147.7 meV/atom
Formation energy (no corrections) = -0.22 eV per atom
Crystal system = triclinic
VASP energy = -8.9 eV for the cell shown
Magnetic moment = 0.0 μB/cell

***

Compound: SeO2
Source: Alexandria via LeMat-Bulk
Functional: PBE-GGA
Structure: optimized geometry

POSCAR file:
```
SeO2
1.0
-2.5254 3.8564 -0.3365
-4.3623 -2.8032 0.6129
0.4820 1.0232 8.1101
O Se
8 4
direct
0.1782 0.7496 0.6569
0.2093 0.0000 0.3272
0.8218 0.7496 0.1569
0.1782 0.2504 0.6569
0.8218 0.2504 0.1569
0.3843 0.5000 0.0287
0.6157 0.5000 0.5287
0.7907 0.0000 0.8272
0.9032 0.0000 0.6358
0.7370 0.5000 0.0049
0.2630 0.5000 0.5049
0.0968 0.0000 0.1358
```

Output
Symmetry = Pmc2_1
Formation energy (no corrections) = -0.68 eV per atom
Crystal system = orthorhombic
VASP energy = -61.7 eV for the cell shown
Magnetic moment = 0.0 μB/cell

***

Compound: SeO2
Source: Alexandria via LeMat-Bulk
Functional: PBE-GGA
Structure: optimized geometry

POSCAR file:
```
SeO2
1.0
2.8972 -0.0008 0.6983
1.2139 7.6910 1.3234
0.4894 -1.3686 4.3363
O Se
4 2
direct
0.9737 0.9813 0.0718
0.2390 0.5110 0.0106
0.1499 0.2112 0.4894
0.4152 0.7409 0.4282
0.6451 0.6651 0.0445
0.7438 0.0571 0.4555
```

Output
Symmetry = C2/m
Formation energy (no corrections) = -0.50 eV per atom
Crystal system = monoclinic
VASP energy = -29.8 eV for the cell shown
Magnetic moment = 0.0 μB/cell

***

Compound: SeO
Source: Alexandria via LeMat-Bulk
Functional: PBE-GGA
Structure: optimized geometry

POSCAR file:
```
SeO
1.0
7.6677 0.0000 0.0000
0.0000 7.6677 0.0000
0.0000 0.0000 2.8783
O Se
4 4
direct
0.8905 0.8905 0.5000
0.6095 0.3905 0.0000
0.1095 0.1095 0.5000
0.3905 0.6095 0.0000
0.8633 0.1367 0.5000
0.3633 0.3633 0.0000
0.6367 0.6367 0.0000
0.1367 0.8633 0.5000
```

Output
Symmetry = P4_2/mnm
Energy above the most stable polymorph in this dataset = 316.7 meV/atom
Formation energy (no corrections) = -0.05 eV per atom
Crystal system = tetragonal
VASP energy = -34.2 eV for the cell shown
Magnetic moment = 0.0 μB/cell

***

Compound: SeO
Source: Alexandria via LeMat-Bulk
Functional: PBE-GGA
Structure: optimized geometry

POSCAR file:
```
SeO
1.0
3.5303 0.0000 0.0000
-1.7652 3.0573 0.0000
0.0000 0.0000 8.8415
Se O
2 2
direct
0.3333 0.6667 0.7665
0.6667 0.3333 0.2665
0.6667 0.3333 0.8155
0.3333 0.6667 0.3155
```

Output
Symmetry = P6_3mc
Energy above the most stable polymorph in this dataset = 642.7 meV/atom
Formation energy (no corrections) = 0.27 eV per atom
Crystal system = hexagonal
VASP energy = -15.8 eV for the cell shown
Magnetic moment = 0.0 μB/cell

***

Compound: SeO3
Source: Alexandria via LeMat-Bulk
Functional: PBE-GGA
Structure: optimized geometry

POSCAR file:
```
SeO3
1.0
10.1926 0.0000 0.0000
0.0000 10.1926 0.0000
0.0000 0.0000 5.5793
O Se
24 8
direct
0.1702 0.4440 0.6140
0.4440 0.8298 0.3860
0.7437 0.4088 0.2015
0.3999 0.3843 0.3458
0.8843 0.8999 0.8458
0.2437 0.0912 0.2985
0.6702 0.0560 0.8860
0.4088 0.2563 0.7985
0.5560 0.1702 0.3860
0.0912 0.7563 0.7015
0.7563 0.9088 0.2985
0.9440 0.6702 0.1140
0.2563 0.5912 0.2015
0.9088 0.2437 0.7015
0.1157 0.1001 0.8458
0.6001 0.6157 0.3458
0.1001 0.8843 0.1542
0.5912 0.7437 0.7985
0.3843 0.6001 0.6542
0.8999 0.1157 0.1542
0.3298 0.9440 0.8860
0.6157 0.3999 0.6542
0.8298 0.5560 0.6140
0.0560 0.3298 0.1140
0.2803 0.5089 0.4444
0.7803 0.9911 0.0556
0.4911 0.2803 0.5556
0.5089 0.7197 0.5556
0.2197 0.0089 0.0556
0.7197 0.4911 0.4444
0.0089 0.7803 0.9444
0.9911 0.2197 0.9444
```

Output
Symmetry = P-42_1c
Formation energy (no corrections) = -0.35 eV per atom
Crystal system = tetragonal
VASP energy = -158.0 eV for the cell shown
Magnetic moment = 0.0 μB/cell

***

Compound: SeO
Source: Alexandria via LeMat-Bulk
Functional: PBE-GGA
Structure: optimized geometry

POSCAR file:
```
SeO
1.0
5.2440 0.0000 0.0000
0.0000 5.2440 0.0000
0.0000 0.0000 5.2440
Se O
4 4
direct
0.5000 0.5000 0.0000
0.0000 0.0000 0.0000
0.0000 0.5000 0.5000
0.5000 0.0000 0.5000
0.7500 0.2500 0.7500
0.2500 0.7500 0.7500
0.7500 0.7500 0.2500
0.2500 0.2500 0.2500
```

Output
Symmetry = F-43m
Energy above the most stable polymorph in this dataset = 1039.2 meV/atom
Formation energy (no corrections) = 0.67 eV per atom
Crystal system = cubic
VASP energy = -28.4 eV for the cell shown
Magnetic moment = 0.0 μB/cell